1.
Computed, not measured: a relaxed structure of VCoSi3 at the PBE-GGA level of DFT.

Cell lengths 4.315, 4.315, 4.315 Å; angles 90.00, 90.00, 90.00 degrees
Space group Pm-3m (No. 221)
Unique sites:
1 V 0.000 0.000 0.000
2 Co 0.500 0.500 0.500
3 Si 0.000 0.500 0.500

The calculation puts the formation energy from raw total energies at 2.73 eV per formula unit. The total energy is -29.76 eV/cell. The magnetization comes out at 3.2 μB per cell. The density comes out at 4.0 Mg/m³.

=====

2.
Computed, not measured: a relaxed structure of V2Co2Si at the PBE-GGA level of DFT.

Cell lengths 6.611, 6.611, 2.786 Å; angles 90.00, 90.00, 90.00 degrees
Space group P4/mbm (No. 127)
Unique sites:
1 V 0.171 0.329 0.000
2 Co 0.128 0.628 0.500
3 Si 0.000 0.000 0.500

The calculation puts the formation energy from raw total energies at -0.89 eV per formula unit. The total energy is -77.52 eV/cell. The magnetization comes out at 0.0 μB per cell. The density comes out at 6.8 Mg/m³.

=====

3.
Computed, not measured: a relaxed structure of V2CoSi2 at the PBE-GGA level of DFT.

Cell lengths 5.923, 5.923, 3.592 Å; angles 90.00, 90.00, 90.00 degrees
Space group P4/mbm (No. 127)
Unique sites:
1 V 0.166 0.334 0.000
2 Co 0.000 0.000 0.500
3 Si 0.139 0.639 0.500

The calculation puts the formation energy from raw total energies at -2.27 eV per formula unit. The total energy is -76.92 eV/cell. The magnetization comes out at 0.0 μB per cell. The density comes out at 5.7 Mg/m³.

=====

4.
Computed, not measured: a relaxed structure of VCoSi at the PBE-GGA level of DFT.

Cell lengths 5.961, 3.553, 6.828 Å; angles 90.00, 90.00, 90.00 degrees
Space group Pnma (No. 62)
Unique sites:
1 V 0.025 0.250 0.178
2 Co 0.143 0.250 0.561
3 Si 0.233 0.750 0.376

The calculation puts the formation energy from raw total energies at -1.81 eV per formula unit. The total energy is -93.82 eV/cell. The magnetization comes out at 0.0 μB per cell. The density comes out at 6.3 Mg/m³.

=====

5.
Computed, not measured: a relaxed structure of VCo3Si at the PBE-GGA level of DFT.

Cell lengths 4.181, 4.181, 4.181 Å; angles 90.00, 90.00, 90.00 degrees
Space group Pm-3m (No. 221)
Unique sites:
1 V 0.000 0.000 0.000
2 Co 0.000 0.000 0.500
3 Si 0.500 0.500 0.500

The calculation puts the formation energy from raw total energies at 5.84 eV per formula unit. The total energy is -30.02 eV/cell. The magnetization comes out at 1.0 μB per cell. For the polymorph energy (0 for the lowest one), the calculation gives 1290.7 meV/atom. The density comes out at 5.8 Mg/m³.

=====

6.
Computed, not measured: a relaxed structure of V5CoSi5 at the PBE-GGA level of DFT.

Cell lengths 10.949, 4.754, 6.145 Å; angles 90.00, 106.84, 90.00 degrees
Space group C2/m (No. 12)
Unique sites:
1 V 0.000 0.000 0.000
2 V 0.109 0.500 0.213
3 V 0.182 0.500 0.846
4 Co 0.000 0.000 0.500
5 Si 0.000 0.500 0.500
6 Si 0.168 0.000 0.794
7 Si 0.186 0.000 0.406

The calculation puts the formation energy from raw total energies at 0.14 eV per formula unit. The total energy is -159.34 eV/cell. The magnetization comes out at 0.0 μB per cell. The density comes out at 4.9 Mg/m³.